The following is a DFT calculation (GGA-PBEsol) of an optimized crystal structure of InC.

## Properties
Calculated density = 7.355 Mg/m³
Excess energy over the best structure of this formula in the dataset = 0 meV/atom
M_tot = 0.0 μB per formula unit
DFT formation energy = 1713 meV/atom
D(E_F) = 0.49 states/eV per atom
Symmetry = No. 187

CIF file:
```
data_InC
_chemical_formula_sum 'In1 C1'
_space_group_name_H-M_alt 'P 1'
_space_group_IT_number 1
_space_group_name_Hall 'P 1'
_cell_length_a 2.8813
_cell_length_b 3.3876
_cell_length_c 3.3876
_cell_angle_alpha 120.00
_cell_angle_beta 90.00
_cell_angle_gamma 90.00
loop_
_atom_site_label
_atom_site_type_symbol
_atom_site_fract_x
_atom_site_fract_y
_atom_site_fract_z
In1 In 0.5000 0.3333 0.6667
C1 C 0.0000 0.0000 0.0000
```